First-principles (PBE) data for crystalline In2AgC2 at its relaxed geometry, as listed in Alexandria.

The structure in extended XYZ format:
```
5
Lattice="-2.963 2.963 2.785 2.963 -2.963 2.785 2.963 2.963 -2.785" Properties=species:S:1:pos:R:3 pbc="T T T"
In 2.963 0.000 1.392
In 0.000 2.963 1.392
Ag 0.000 0.000 0.000
C 0.000 0.000 2.144
C 0.000 0.000 3.425
```

Computed properties:
DOS(E_F) = 1.488 states/eV/f.u.
theoretical density = 6.14 Mg/m³
spin magnetization = 0.0 μB per cell
E above lowest polymorph = 0 meV per atom